Material: KBiPd2
Method: DFT, PBE
State: relaxed

a = 8.035 Å, b = 8.035 Å, c = 6.877 Å
α = 90.00°, β = 90.00°, γ = 90.00°
Space group I-42d (No. 122)
Inequivalent atoms, fractional coordinates:
K  0.000  0.000  0.000 [4 per cell]
Bi  0.000  0.000  0.500 [4 per cell]
Pd  0.192  0.250  0.625 [8 per cell]

Formation enthalpy at 0 K in eV per atom: 0.10
Total magnetic moment in μB/f.u.: 0.00
Relative energy among the computed polymorphs in meV per atom: 398
Density of states at the Fermi level in states/eV/cell: 4.3